A plane-wave DFT calculation with GGA-PBE was carried out for a geometry-optimized SrY3P structure.

Lattice parameters (Å, degrees): 5.5078 5.5078 5.5078 90.00 90.00 90.00
Closest atoms and distances in Å follow each position.
Fractional positions:
Sr1 0.0000 0.0000 0.0000  12 Y 3.89
Y1 0.0000 0.5000 0.5000  2 P 2.75
Y2 0.5000 0.0000 0.5000  2 P 2.75
Y3 0.5000 0.5000 0.0000  2 P 2.75
P1 0.5000 0.5000 0.5000  6 Y 2.75

Computed properties:
SG: No. 221
Total DFT energy (no corrections) (eV per formula unit): -28.63
Energy relative to the elements (eV per atom): -0.4288
Spin magnetization (μB per cell): 1.36
Energy above the lowest structure with this stoichiometry (meV/atom): 0